[1]
The following is a PBE-GGA calculation of In2MoP after structural relaxation, from Alexandria via LeMat-Bulk.

POSCAR file:
```
In2MoP
1.0
7.7790 0.0000 0.0000
0.0000 7.7790 0.0000
3.8895 3.8895 2.7730
Mo P In
2 2 4
Direct
0.0000 0.0000 0.0000
0.7500 0.2500 0.5000
0.2500 0.7500 0.5000
0.5000 0.5000 0.0000
0.3750 0.4037 0.7500
0.1537 0.6250 0.2500
0.5963 0.1250 0.2500
0.8750 0.8463 0.7500
```

Output
Calculated total energy in eV for the cell shown: -38.241
Energy relative to the elements in eV/atom: 0.649
Magnetic moment in Bohr magnetons per cell: 5.6
Crystal system: tetragonal

---

[2]
The following is a PBE-GGA calculation of VAsPb after structural relaxation, from Alexandria via LeMat-Bulk.

POSCAR file:
```
VAsPb
1.0
-2.7765 -0.1669 2.1112
-3.2428 -1.2692 -4.3650
1.2857 -7.1544 1.1251
As Pb V
2 2 2
Direct
0.5000 0.4573 0.2763
0.0000 0.5427 0.7763
0.5000 0.0578 0.7380
0.0000 0.9422 0.2380
0.5000 0.6755 0.9876
0.0000 0.3245 0.4876
```

Output
Calculated total energy in eV for the cell shown: -34.262
Energy relative to the elements in eV/atom: 0.115
Magnetic moment in Bohr magnetons per cell: 3.6
Crystal system: orthorhombic

---

[3]
The following is a PBE-GGA calculation of LaTc2Se after structural relaxation, from Alexandria via LeMat-Bulk.

POSCAR file:
```
LaTc2Se
1.0
3.1488 0.0000 0.0000
0.0000 3.1488 0.0000
0.0000 0.0000 7.5658
La Tc Se
1 2 1
Direct
0.5000 0.5000 0.2500
0.0000 0.0000 0.5622
0.0000 0.0000 0.9378
0.5000 0.5000 0.7500
```

Output
Calculated total energy in eV for the cell shown: -27.624
Energy relative to the elements, uncorrected in eV per atom: 0.3800
Magnetic moment in Bohr magnetons per cell: 0.0
Crystal system: tetragonal

---

[4]
The following is a PBE-GGA calculation of CaZnSi2Pd5 after structural relaxation, from Alexandria via LeMat-Bulk.

POSCAR file:
```
CaZnSi2Pd5
1.0
-1.1122 3.3698 2.9790
1.2303 -2.7237 3.5404
6.6687 2.5295 -0.3715
Pd Ca Zn Si
5 1 1 2
Direct
0.0000 0.5000 0.2261
0.0000 0.5000 0.7739
0.5000 0.0000 0.2261
0.5000 0.5000 0.5000
0.5000 0.0000 0.7739
0.0000 0.0000 0.5000
0.0000 0.0000 0.0000
0.5000 0.5000 0.8414
0.5000 0.5000 0.1586
```

Output
Calculated total energy in eV for the cell shown: -44.803
Energy relative to the elements, uncorrected in eV per atom: -0.5241
Magnetic moment in Bohr magnetons per cell: 0.0
Crystal system: tetragonal

---

[5]
The following is a PBE-GGA calculation of K2AlAuO4 after structural relaxation, from Alexandria via LeMat-Bulk.

POSCAR file:
```
K2AlAuO4
1.0
5.7743 0.0000 0.0000
2.8871 6.7028 0.0000
2.8871 0.0000 9.6513
Al O Au K
2 8 2 4
Direct
0.7500 0.5000 0.5000
0.0000 0.0000 0.0000
0.4356 0.6886 0.4907
0.6149 0.3114 0.5093
0.8742 0.8114 0.9907
0.3144 0.8114 0.0093
0.0737 0.3114 0.4907
0.8758 0.6886 0.5093
0.1351 0.1886 0.9907
0.6763 0.1886 0.0093
0.5000 0.0000 0.0000
0.2500 0.5000 0.5000
0.9299 0.5000 0.1402
0.1799 0.0000 0.6402
0.8201 0.0000 0.3598
0.5701 0.5000 0.8598
```

Output
Calculated total energy in eV for the cell shown: -80.572
Energy relative to the elements, uncorrected in eV per atom: -1.4048
Magnetic moment in Bohr magnetons per cell: 0.0
Crystal system: orthorhombic

---

[6]
The following is a PBE-GGA calculation of Na2Sn2Pb5 after structural relaxation, from Alexandria via LeMat-Bulk.

POSCAR file:
```
Na2Sn2Pb5
1.0
-3.0877 -8.3256 -1.1519
5.5866 -1.7247 -2.5096
1.9736 2.6072 10.6670
Sn Pb Na
4 10 4
Direct
0.9792 0.7096 0.5000
0.0000 0.9868 0.0000
0.5000 0.4868 0.0000
0.0208 0.2096 0.5000
0.7542 0.8263 0.6700
0.1514 0.6346 0.8137
0.1623 0.1346 0.8137
0.5842 0.6563 0.3300
0.6590 0.2360 0.5000
0.2458 0.1563 0.3300
0.8486 0.8209 0.1863
0.4158 0.3263 0.6700
0.8377 0.3209 0.1863
0.3410 0.7360 0.5000
0.4570 0.0523 0.1392
0.8178 0.4131 0.8608
0.5430 0.9131 0.8608
0.1822 0.5523 0.1392
```

Output
Calculated total energy in eV for the cell shown: -58.970
Energy relative to the elements in eV/atom: -0.033
Distance to the lowest polymorph of the same formula in meV/atom: 0
Magnetic moment in Bohr magnetons per cell: 0.0
Crystal system: orthorhombic